The following is a GGA-PBE calculation of La2TlOs after structural relaxation, from Alexandria via LeMat-Bulk.

Properties
Energy of formation from the pure elements, meV per atom: -26.2
Total energy, eV/atom: -5.89
Size of the total moment, μB/atom: 0.00

Cell: 4.846 4.103 11.520 Å, 90.00 90.00 90.00°
Space group Amm2 (No. 38)
Unique sites:
La 0.000 0.000 0.000 [2 per cell]
La 0.500 0.000 0.265 [2 per cell]
Tl 0.000 0.000 0.716 [2 per cell]
Os 0.500 0.000 0.578 [2 per cell]

=====

The following is a GGA-PBE calculation of La2TlOs after structural relaxation, from Alexandria via LeMat-Bulk.

Properties
Energy of formation from the pure elements, meV per atom: -119.0
Total energy, eV/atom: -5.98
Size of the total moment, μB/atom: 0.00

Cell: 4.1804 4.1804 24.9391 Å, 90.00 90.00 120.00°
Space group R-3m (No. 166, hexagonal axes)
Unique sites:
La 0.0000 0.0000 0.2284 [6 per cell]
Tl 0.0000 0.0000 0.0000 [3 per cell]
Os 0.0000 0.0000 0.5000 [3 per cell]

=====

The following is a GGA-PBE calculation of La2TlOs after structural relaxation, from Alexandria via LeMat-Bulk.

Properties
Energy of formation from the pure elements, meV per atom: 74.8
Total energy, eV/atom: -5.79
Size of the total moment, μB/atom: 0.00

Cell: 8.286 8.286 6.864 Å, 90.00 90.00 90.00°
Space group I-42d (No. 122)
Unique sites:
La 0.187 0.250 0.125 [8 per cell]
Tl 0.000 0.000 0.500 [4 per cell]
Os 0.000 0.000 0.000 [4 per cell]

=====

The following is a GGA-PBE calculation of La2TlOs after structural relaxation, from Alexandria via LeMat-Bulk.

Properties
Energy of formation from the pure elements, meV per atom: 97.1
Total energy, eV/atom: -5.77
Size of the total moment, μB/atom: 0.00

Cell: 5.114 5.114 7.303 Å, 90.00 90.00 90.00°
Space group I-4m2 (No. 119)
Unique sites:
La 0.000 0.000 0.000 [2 per cell]
La 0.000 0.500 0.250 [2 per cell]
Tl 0.000 0.000 0.500 [2 per cell]
Os 0.000 0.500 0.750 [2 per cell]

=====

The following is a GGA-PBE calculation of La2TlOs after structural relaxation, from Alexandria via LeMat-Bulk.

Properties
Energy of formation from the pure elements, meV per atom: 211.8
Total energy, eV/atom: -5.65
Size of the total moment, μB/atom: 0.00

Cell: 3.508 3.508 9.162 Å, 90.00 90.00 90.00°
Space group P4mm (No. 99)
Unique sites:
La 0.000 0.000 0.000 [1 per cell]
La 0.500 0.500 0.391 [1 per cell]
Tl 0.500 0.500 0.752 [1 per cell]
Os 0.000 0.000 0.578 [1 per cell]

=====

The following is a GGA-PBE calculation of La5TlOs after structural relaxation, from Alexandria via LeMat-Bulk.

Properties
Energy of formation from the pure elements, meV per atom: -141.0
Total energy, eV/atom: -5.60
Size of the total moment, μB/atom: 0.00

Cell: 10.717 7.461 12.131 Å, 90.00 108.95 90.00°
Space group C2/c (No. 15)
Unique sites:
La 0.000 0.004 0.250 [4 per cell]
La 0.124 0.325 0.553 [8 per cell]
La 0.226 0.188 0.135 [8 per cell]
Tl 0.000 0.451 0.250 [4 per cell]
Os 0.000 0.000 0.000 [4 per cell]

=====

The following is a GGA-PBE calculation of La2TlOs after structural relaxation, from Alexandria via LeMat-Bulk.

Properties
Energy of formation from the pure elements, meV per atom: -32.2
Total energy, eV/atom: -5.89
Size of the total moment, μB/atom: 0.00

Cell: 7.525 7.525 7.525 Å, 90.00 90.00 90.00°
Space group Fm-3m (No. 225)
Unique sites:
La 0.250 0.250 0.250 [8 per cell]
Tl 0.000 0.000 0.000 [4 per cell]
Os 0.000 0.000 0.500 [4 per cell]

=====

The following is a GGA-PBE calculation of LaTlOs after structural relaxation, from Alexandria via LeMat-Bulk.

Properties
Energy of formation from the pure elements, meV per atom: 220.8
Total energy, eV/atom: -5.95
Size of the total moment, μB/atom: 0.00

Cell: 3.467 3.467 12.068 Å, 90.00 90.00 90.00°
Space group I4mm (No. 107)
Unique sites:
La 0.000 0.000 0.000 [2 per cell]
Tl 0.000 0.000 0.723 [2 per cell]
Os 0.000 0.000 0.356 [2 per cell]